Entry from Alexandria via LeMat-Bulk: crystalline Y2NbGaW at its relaxed geometry (PBE).

Results
The calculation puts the mass density at 6.6 g cm⁻³. As for the formation energy: 1.04 eV/atom. The calculation puts the total energy at -6.75 eV/atom.

Unit cell a=5.2826 b=4.7167 c=5.2826 alpha=90.00 beta=90.00 gamma=90.00
Last column: magnetic moment on the atom in μB.
Atoms (fractional coordinates):
Y 0.0000 0.0000 0.5000  0.12
Y 0.5000 0.0000 0.0000  0.10
Nb 0.5000 0.5000 0.5000  1.82
Ga 0.0000 0.0000 0.0000  0.03
W 0.0000 0.5000 0.0000  -0.95